Record 1
The following is a PBE calculation of a geometry-optimized Be2AgAs structure, from Alexandria via LeMat-Bulk.

Structure (POSCAR):
```
Be2AgAs
1.0
-1.0464 -3.9982 -0.0536
1.3872 -3.0492 2.4210
-3.2195 0.0838 3.1341
Be As Ag
2 1 1
Direct
0.0188 0.0188 0.9122
0.7249 0.7249 0.8713
0.2576 0.2576 0.1655
0.4988 0.4988 0.5510
```

Calculated values
SG ... Cm
Energy ... -13.89 eV/cell

---

Record 2
The following is a PBE calculation of a geometry-optimized Sm3Y2Tm7 structure, from Alexandria via LeMat-Bulk.

Structure (POSCAR):
```
Sm3Y2Tm7
1.0
-0.4142 -3.4733 -0.0916
2.1425 -0.4112 5.9039
-14.6269 1.4784 10.0865
Sm Y Tm
3 2 7
Direct
0.5000 0.5000 0.0000
0.0000 0.1079 0.3426
0.0000 0.8921 0.6574
0.5000 0.6167 0.3254
0.5000 0.3833 0.6746
0.5000 0.2462 0.5004
0.5000 0.7538 0.4996
0.0000 0.5643 0.1641
0.0000 0.0000 0.0000
0.0000 0.4357 0.8359
0.5000 0.9405 0.8344
0.5000 0.0595 0.1656
```

Calculated values
SG ... P2/m
Energy relative to the lowest polymorph listed for this composition ... 0 meV/atom

---

Record 3
The following is a PBE calculation of a geometry-optimized PrSc2AgHg4 structure, from Alexandria via LeMat-Bulk.

Structure (POSCAR):
```
PrSc2AgHg4
1.0
-3.6075 3.0907 1.2206
-4.2996 -0.1982 -2.3516
-5.6895 -5.0040 5.7095
Pr Sc Ag Hg
1 2 1 4
Direct
0.0000 0.0000 0.0000
0.7636 0.7636 0.7093
0.2364 0.2364 0.2907
0.5000 0.5000 0.5000
0.3884 0.3884 0.8348
0.8745 0.8745 0.3764
0.1255 0.1255 0.6236
0.6116 0.6116 0.1652
```

Calculated values
SG ... R-3m
Energy ... -24.00 eV/cell

---

Record 4
The following is a PBE calculation of a geometry-optimized BaTlGa2Br8 structure, from Alexandria via LeMat-Bulk.

Structure (POSCAR):
```
BaTlGa2Br8
1.0
7.1369 0.0000 0.0000
-3.5685 6.1808 0.0000
0.0000 0.0000 10.7868
Ba Tl Ga Br
1 1 2 8
Direct
0.0000 0.0000 0.5000
0.0000 0.0000 0.0000
0.6667 0.3333 0.2258
0.3333 0.6667 0.7742
0.3333 0.6667 0.9969
0.3378 0.3390 0.2981
0.6610 0.9988 0.2981
0.6667 0.3333 0.0031
0.3390 0.0012 0.7019
0.6622 0.6610 0.7019
0.9988 0.3378 0.7019
0.0012 0.6622 0.2981
```

Calculated values
Raw formation energy ... -1029 meV/atom
SG ... P-3

---

- Which formula does entry 1 have?
  Be2AgAs